[1]
This record from the Open Quantum Materials Database describes an optimized crystal structure of BaTbAgTe2Se. The functional is GGA-PBE.

abc: 7.887 7.887 10.983
angles: 90.00 90.00 147.68
Element x y z (fractional)
Te1 0.642 0.358 0.551
Te2 0.358 0.642 0.051
Tb1 0.000 0.000 0.500
Ba1 0.262 0.738 0.750
Ba2 0.738 0.262 0.250
Se1 0.926 0.074 0.750
Ag1 0.472 0.528 0.250
Se2 0.074 0.926 0.250
Te3 0.358 0.642 0.449
Tb2 0.000 0.000 0.000
Te4 0.642 0.358 0.949
Ag2 0.528 0.472 0.750

Properties
* symmetry: Cmcm (63)
* uncorrected energy: -54.61 eV/cell

[2]
This record from the Open Quantum Materials Database describes an optimized crystal structure of Rb2Cu2Cl5. The functional is GGA-PBE.

abc: 11.902 11.902 11.902
angles: 46.90 147.39 147.24
Element x y z (fractional)
Cu1 0.951 0.280 0.171
Cu2 0.994 0.494 0.500
Rb1 0.493 0.380 0.886
Cl1 0.994 0.330 0.363
Cl2 0.967 0.631 0.637
Cl3 0.994 0.131 0.164
Cl4 0.494 0.745 0.750
Cl5 0.967 0.830 0.836
Cl6 0.483 0.127 0.856
Rb2 0.493 0.107 0.613
Cl7 0.994 0.245 0.751
Cu3 0.108 0.780 0.829
Cl8 0.994 0.744 0.250
Cl9 0.494 0.244 0.249
Rb3 0.494 0.880 0.387
Cu4 0.994 0.994 0.000
Rb4 0.494 0.607 0.114
Cl10 0.271 0.627 0.144

Properties
* symmetry: Ima2 (46)
* uncorrected energy: -58.01 eV/cell

[3]
This record from the Open Quantum Materials Database describes an optimized crystal structure of RbScCuS3. The functional is GGA-PBE.

abc: 15.020 3.780 10.038
angles: 90.00 90.00 90.00
Element x y z (fractional)
Cu1 0.487 0.750 0.402
Sc1 0.020 0.750 0.653
Rb1 0.763 0.250 0.036
Cu2 0.513 0.250 0.598
S1 0.122 0.250 0.743
S2 0.878 0.750 0.257
Rb2 0.237 0.750 0.964
Sc2 0.980 0.250 0.347
Rb3 0.737 0.750 0.536
S3 0.926 0.750 0.884
S4 0.088 0.750 0.422
Cu3 0.987 0.750 0.098
S5 0.574 0.250 0.384
S6 0.622 0.250 0.757
S7 0.588 0.750 0.078
S8 0.412 0.250 0.922
Rb4 0.263 0.250 0.464
Cu4 0.013 0.250 0.902
Sc3 0.480 0.250 0.153
S9 0.426 0.750 0.616
S10 0.378 0.750 0.243
S11 0.074 0.250 0.116
S12 0.912 0.250 0.578
Sc4 0.520 0.750 0.847

Properties
* symmetry: Pnma (62)
* uncorrected energy: -122.39 eV/cell

[4]
This record from the Open Quantum Materials Database describes an optimized crystal structure of GeIrO3. The functional is GGA-PBE.

abc: 5.351 5.351 5.351
angles: 61.83 61.83 61.83
Last column: magnetic moment on the atom in μB.
Element x y z (fractional)
O1 0.750 0.374 0.126  0.01
O2 0.874 0.250 0.626  0.01
Ir1 0.000 0.000 0.000  0.05
Ir2 0.500 0.500 0.500  0.05
Ge1 0.750 0.750 0.750  0.01
O3 0.626 0.874 0.250  0.01
O4 0.374 0.126 0.750  0.01
O5 0.126 0.750 0.374  0.01
Ge2 0.250 0.250 0.250  0.01
O6 0.250 0.626 0.874  0.01

Properties
* symmetry: R-3c (167)
* uncorrected energy: -63.02 eV/cell

[5]
This record from the Open Quantum Materials Database describes an optimized crystal structure of KDyTe. The functional is GGA-PBE.

abc: 5.310 5.310 5.310
angles: 60.00 60.00 60.00
Element x y z (fractional)
Te1 0.000 0.000 0.000
Dy1 0.250 0.250 0.250
K1 0.750 0.750 0.750

Properties
* excess energy over the best structure of this formula in the dataset: 0.000 eV/atom
* symmetry: F-43m (216)

[6]
This record from the Open Quantum Materials Database describes an optimized crystal structure of SrNbBi. The functional is GGA-PBE.

abc: 5.307 5.307 5.307
angles: 60.00 60.00 60.00
Element x y z (fractional)
Bi1 0.250 0.250 0.250
Nb1 0.750 0.750 0.750
Sr1 0.000 0.000 0.000

Properties
* excess energy over the best structure of this formula in the dataset: 0.460 eV/atom
* symmetry: F-43m (216)

[7]
This record from the Open Quantum Materials Database describes an optimized crystal structure of GdNiGe2Pd. The functional is GGA-PBE.

abc: 5.855 5.855 5.855
angles: 138.26 138.26 60.51
Element x y z (fractional)
Ni1 0.750 0.250 0.500
Ge1 0.377 0.377 0.000
Ge2 0.623 0.623 0.000
Pd1 0.250 0.750 0.500
Gd1 0.000 0.000 0.000

Properties
* symmetry: I-4m2 (119)
* uncorrected energy: -28.31 eV/cell

[8]
This record from the Open Quantum Materials Database describes an optimized crystal structure of BaLiNbSe3. The functional is GGA-PBE.

abc: 7.166 7.166 10.055
angles: 90.00 90.00 145.70
Last column: magnetic moment on the atom in μB.
Element x y z (fractional)
Nb1 0.000 0.000 0.500  1.61
Li1 0.479 0.521 0.250  0.00
Ba1 0.243 0.757 0.750  0.02
Se1 0.071 0.929 0.250  -0.01
Ba2 0.757 0.243 0.250  0.02
Se2 0.624 0.376 0.953  -0.01
Se3 0.376 0.624 0.453  -0.01
Se4 0.376 0.624 0.047  -0.01
Li2 0.521 0.479 0.750  0.00
Se5 0.929 0.071 0.750  -0.01
Nb2 0.000 0.000 0.000  1.61
Se6 0.624 0.376 0.547  -0.01

Properties
* symmetry: Cmcm (63)
* uncorrected energy: -63.04 eV/cell